VASP calculation (PBE with a Hubbard U) on an optimized crystal structure of NaPrMnWO6.

Cell lengths 8.0528, 8.0528, 8.0528 Å; angles 90.00, 90.00, 90.00 degrees
With the nearest neighbours (Å) after each atom.
Space group F-43m (No. 216)
One atom of each set of equivalent atoms:
Na: 0.0000 0.0000 0.0000 [4 per cell]  12 O 2.85
Pr: 0.0000 0.0000 0.5000 [4 per cell]  12 O 2.85
Mn: 0.2500 0.2500 0.7500 [4 per cell]  6 O 2.09
W: 0.2500 0.2500 0.2500 [4 per cell]  6 O 1.93
O: 0.0100 0.2500 0.2500 [24 per cell]  1 W 1.93, 1 Mn 2.09

Values from the calculation:
E: -290.443 eV per cell
Crystal system: cubic
Mass density: 6.34 g/cm³